## Sm3InCu8 (GGA-PBE)

Data for a geometry-optimized Sm3InCu8 structure.

It has space group P3m1 (No. 156), with a = 5.2657 Å, b = 5.2657 Å, c = 8.5728 Å, α = 90.00°, β = 90.00° and γ = 120.00°. The asymmetric unit holds Sm at (0.0000, 0.0000, 0.0000), Sm at (0.0000, 0.0000, 0.3856), Sm at (0.3333, 0.6667, 0.8590), In at (0.3333, 0.6667, 0.4849), Cu at (0.0000, 0.5000, 0.1870), Cu at (0.3371, 0.1685, 0.6865), Cu at (0.6667, 0.3333, 0.4387) and Cu at (0.6667, 0.3333, 0.9414).

The electronic total energy comes out at -51.8 eV/cell. Its crystal system is trigonal.


## SmInCu3 (GGA-PBE)

Data for a geometry-optimized SmInCu3 structure.

It has space group Cmcm (No. 63), with a = 3.8321 Å, b = 24.7934 Å, c = 4.0203 Å, α = 90.00°, β = 90.00° and γ = 90.00°. The asymmetric unit holds Sm at (0.0000, 0.0778, 0.2500), In at (0.0000, 0.2069, 0.7500), Cu at (0.0000, 0.3156, 0.7500), Cu at (0.0000, 0.3737, 0.2500) and Cu at (0.0000, 0.4727, 0.2500).

The electronic total energy comes out at -81.6 eV/cell. Its crystal system is orthorhombic.


## Sm4In5Cu2 (GGA-PBE)

Data for a geometry-optimized Sm4In5Cu2 structure.

It has space group P2/m (No. 10), with a = 7.7511 Å, b = 3.7449 Å, c = 9.6813 Å, α = 90.00°, β = 94.43° and γ = 90.00°. The asymmetric unit holds Sm at (0.1839, 0.0000, 0.3583), Sm at (0.2298, 0.0000, 0.9360), In at (0.1688, 0.5000, 0.6512), In at (0.4501, 0.5000, 0.1771), In at (0.5000, 0.5000, 0.5000) and Cu at (0.0669, 0.5000, 0.1276).

The electronic total energy comes out at -44.9 eV/cell. Its crystal system is monoclinic.


Which of these has the lowest electronic total energy?
SmInCu3


Which value of electronic total energy does entry 3 give?
-44.9 eV/cell


Repeat the second record exactly.
## SmInCu3 (GGA-PBE)

Data for a geometry-optimized SmInCu3 structure.

It has space group Cmcm (No. 63), with a = 3.8321 Å, b = 24.7934 Å, c = 4.0203 Å, α = 90.00°, β = 90.00° and γ = 90.00°. The asymmetric unit holds Sm at (0.0000, 0.0778, 0.2500), In at (0.0000, 0.2069, 0.7500), Cu at (0.0000, 0.3156, 0.7500), Cu at (0.0000, 0.3737, 0.2500) and Cu at (0.0000, 0.4727, 0.2500).

The electronic total energy comes out at -81.6 eV/cell. Its crystal system is orthorhombic.